[1]
The following is a DFT calculation (PBE-GGA) of an optimized crystal structure of PO.

The space group is P6_3/m, No. 176. The value obtained for the distance to the lowest polymorph of the same formula is 0.68 eV/f.u. The uncorrected formation energy comes out at -729 meV/atom. The value obtained for the volume is 15.86 A^3/atom.

Cell lengths 9.2032, 9.2032, 2.5955 Å; angles 90.00, 90.00, 120.00 degrees
Element x y z (fractional)
P: 0.9123 0.2094 0.2500
P: 0.7029 0.9123 0.7500
P: 0.7906 0.7029 0.2500
P: 0.0877 0.7906 0.7500
P: 0.2971 0.0877 0.2500
P: 0.2094 0.2971 0.7500
O: 0.5690 0.8728 0.2500
O: 0.6961 0.5690 0.7500
O: 0.1272 0.6961 0.2500
O: 0.4310 0.1272 0.7500
O: 0.3039 0.4310 0.2500
O: 0.8728 0.3039 0.7500

[2]
The following is a DFT calculation (PBE-GGA) of an optimized crystal structure of PmSm2F.

The space group is R-3m, No. 166. The uncorrected formation energy comes out at -1147 meV/atom. The value obtained for the volume is 26.64 A^3/atom.

Cell lengths 3.7602, 3.7602, 8.9683 Å; angles 77.90, 77.90, 60.00 degrees
Element x y z (fractional)
F: 0.0000 0.0000 0.0000
Sm: 0.7232 0.7232 0.8305
Sm: 0.2768 0.2768 0.1695
Pm: 0.5000 0.5000 0.5000

[3]
The following is a DFT calculation (PBE-GGA) of an optimized crystal structure of TaW2Cl.

The space group is Cmmm, No. 65. The value obtained for the distance to the lowest polymorph of the same formula is 2.73 eV/f.u. The uncorrected formation energy comes out at 920 meV/atom. The value obtained for the volume is 17.15 A^3/atom.

Cell lengths 5.4287, 5.4287, 2.7436 Å; angles 90.00, 90.00, 121.94 degrees
Element x y z (fractional)
Cl: 0.5000 0.0000 0.5000
Ta: 0.0000 0.5000 0.5000
W: 0.0000 0.0000 0.0000
W: 0.5000 0.5000 0.0000